K2HfAgSe4: relaxed, PBE.

a = 3.949 Å, b = 8.054 Å, c = 7.628 Å
α = 67.68°, β = 90.00°, γ = 90.00°
Fractional positions:
1 K 0.000 0.000 0.000
2 K 0.500 0.000 0.500
3 Hf 0.000 0.500 0.500
4 Ag 0.500 0.500 0.000
5 Se 0.000 0.662 0.760
6 Se 0.000 0.338 0.240
7 Se 0.500 0.718 0.304
8 Se 0.500 0.282 0.696

Symmetry: P2/m
Density in Mg/m³: 5.0
ΔE_f (raw) in eV per formula unit: -7.78

Ge2HPd6: relaxed, PBE.

a = 3.636 Å, b = 4.990 Å, c = 8.976 Å
α = 57.00°, β = 78.32°, γ = 68.63°
Fractional positions:
1 Ge 0.245 0.754 0.755
2 Ge 0.755 0.246 0.245
3 H 0.000 0.500 0.500
4 Pd 0.638 0.780 0.944
5 Pd 0.362 0.220 0.056
6 Pd 0.056 0.629 0.260
7 Pd 0.359 0.840 0.441
8 Pd 0.944 0.371 0.740
9 Pd 0.641 0.160 0.559

Symmetry: C2/m
Density in Mg/m³: 10.2
E in hartree per atom: -0.19190

Be4CoPd3: relaxed, PBE.

a = 2.771 Å, b = 2.771 Å, c = 11.086 Å
α = 90.00°, β = 90.00°, γ = 90.00°
Fractional positions:
1 Be 0.000 0.000 0.897
2 Be 0.000 0.000 0.103
3 Be 0.000 0.000 0.368
4 Be 0.000 0.000 0.632
5 Co 0.500 0.500 0.000
6 Pd 0.500 0.500 0.242
7 Pd 0.500 0.500 0.500
8 Pd 0.500 0.500 0.758

Symmetry: P4/mmm
Density in Mg/m³: 8.1
E_form in eV per atom: -0.5318

NaNb3Bi: relaxed, PBE.

a = 4.778 Å, b = 4.778 Å, c = 4.778 Å
α = 90.00°, β = 90.00°, γ = 90.00°
Fractional positions:
1 Na 0.000 0.000 0.000
2 Nb 0.000 0.500 0.000
3 Nb 0.000 0.000 0.500
4 Nb 0.500 0.000 0.000
5 Bi 0.500 0.500 0.500

Symmetry: Pm-3m
Density in Mg/m³: 7.8
E_form in eV per atom: 1.8264
Polymorph energy (0 for the lowest one) in meV/atom: 0

SrUIr4: relaxed, PBE.

a = 5.396 Å, b = 5.396 Å, c = 5.396 Å
α = 60.00°, β = 60.00°, γ = 60.00°
Site moments in Bohr magnetons follow the coordinates.
Fractional positions:
1 Sr 0.250 0.250 0.250  0.03
2 Ir 0.625 0.625 0.125  -0.13
3 Ir 0.625 0.125 0.625  -0.13
4 Ir 0.625 0.625 0.625  -0.13
5 Ir 0.125 0.625 0.625  -0.13
6 U 0.000 0.000 0.000  1.96

Symmetry: F-43m
Density in Mg/m³: 16.4
E_form in eV per atom: -0.3618

Tm2Cu3Ni2: relaxed, PBE.

a = 4.061 Å, b = 5.161 Å, c = 6.218 Å
α = 109.65°, β = 90.00°, γ = 113.17°
Fractional positions:
1 Tm 0.644 0.289 0.749
2 Tm 0.356 0.711 0.251
3 Cu 0.361 0.722 0.782
4 Cu 0.000 0.000 0.000
5 Cu 0.639 0.278 0.218
6 Ni 0.113 0.226 0.434
7 Ni 0.887 0.774 0.566

Symmetry: C2/m
Density in Mg/m³: 9.6
E_form in eV per atom: -0.3046
Polymorph energy (0 for the lowest one) in meV/atom: 0

Ho2AsAu: relaxed, PBE.

a = 4.060 Å, b = 4.060 Å, c = 7.408 Å
α = 74.10°, β = 74.10°, γ = 60.00°
Fractional positions:
1 As 0.000 0.000 0.000
2 Au 0.500 0.500 0.500
3 Ho 0.254 0.254 0.237
4 Ho 0.746 0.746 0.763

Symmetry: R-3m
Density in Mg/m³: 10.0
E_form in eV per atom: -1.0660

Ac4NdIn5: relaxed, PBE.

a = 4.040 Å, b = 4.040 Å, c = 20.528 Å
α = 90.00°, β = 90.00°, γ = 90.00°
Fractional positions:
1 Ac 0.000 0.000 0.192
2 Ac 0.000 0.000 0.397
3 Ac 0.000 0.000 0.603
4 Ac 0.000 0.000 0.808
5 Nd 0.000 0.000 0.000
6 In 0.500 0.500 0.087
7 In 0.500 0.500 0.294
8 In 0.500 0.500 0.500
9 In 0.500 0.500 0.706
10 In 0.500 0.500 0.913

Symmetry: P4/mmm
Density in Mg/m³: 8.1
E_form in eV per atom: -0.4325